Entry from the Alexandria database: an optimized crystal structure of V2Cu3O9 (PBE+U).

extended XYZ file:
```
28
Lattice="7.5840 0.0000 0.0000 0.0000 6.5606 0.0000 -0.3801 0.0000 7.8478" Properties=species:S:1:pos:R:3 pbc="T T T"
V 1.1585 1.6401 2.3245
V 1.4017 1.6401 6.6399
V 5.8022 4.9204 1.2079
V 6.0454 4.9204 5.5232
Cu 1.1801 4.9204 3.2086
Cu 2.1952 4.9204 6.2378
Cu 3.6020 0.0000 3.9239
Cu 3.6020 3.2803 3.9239
Cu 5.0087 1.6401 1.6099
Cu 6.0238 1.6401 4.6392
O -0.0608 1.6401 5.7859
O 0.0807 4.9204 5.1267
O 1.4156 1.6401 0.5527
O 2.0050 4.9204 0.0583
O 1.9013 0.1992 3.0434
O 1.9013 3.0811 3.0434
O 2.3721 0.2327 6.2518
O 2.3721 3.0476 6.2518
O 2.8187 4.9204 4.4298
O 4.3852 1.6401 3.4180
O 4.8319 3.5130 1.5959
O 4.8319 6.3279 1.5959
O 5.3026 3.4795 4.8044
O 5.3026 6.3614 4.8044
O 5.1989 1.6401 7.7895
O 5.7884 4.9204 7.2951
O 7.1232 1.6401 2.7210
O 7.2647 4.9204 2.0619
```

Results
Size of the total moment ... 1.0 μB/f.u.
Density ... 3.71 Mg/m³
Electronic total energy ... -6.174 eV/atom